Record 1
VASP calculation (PBE) on a relaxed BaCu3Re crystal.

Computed properties:
Energy relative to the lowest polymorph listed for this composition   0.00 kJ per mole of atoms
Formation energy from the elements   696 meV per atom
DFT total energy   -23.18 eV for the cell shown

Cell: 4.843 4.843 4.843 Å, 90.00 90.00 90.00°
Positions (direct):
1 Re 0.000 0.000 0.000
2 Ba 0.500 0.500 0.500
3 Cu 0.000 0.500 0.000
4 Cu 0.000 0.000 0.500
5 Cu 0.500 0.000 0.000

Record 2
VASP calculation (PBE) on a relaxed BaCu2Re crystal.

Computed properties:
Energy relative to the lowest polymorph listed for this composition   24.65 kJ per mole of atoms
Formation energy from the elements   742 meV per atom
DFT total energy   -19.60 eV for the cell shown

Cell: 4.131 2.973 6.731 Å, 79.87 90.00 90.00°
Positions (direct):
1 Ba 0.500 0.770 0.761
2 Cu 0.000 0.139 0.070
3 Cu 0.500 0.078 0.284
4 Re 0.000 0.513 0.384

Record 3
VASP calculation (PBE) on a relaxed BaCuRe2 crystal.

Computed properties:
Energy relative to the lowest polymorph listed for this composition   8.19 kJ per mole of atoms
Formation energy from the elements   527 meV per atom
DFT total energy   -28.81 eV for the cell shown

Cell: 3.196 3.196 7.935 Å, 90.00 90.00 90.00°
Positions (direct):
1 Ba 0.000 0.000 0.504
2 Cu 0.500 0.500 0.820
3 Re 0.000 0.000 0.009
4 Re 0.500 0.500 0.167